The following is a GGA+U calculation of a geometry-optimized Mn2RuSeF structure, from Alexandria.

Calculated values
The density of states at the Fermi level comes out at 0.80 states/eV per atom. The mass density comes out at 6.0 g/cm³. As for the energy: -29.0 eV per formula unit.

a = 4.079 Å, b = 4.079 Å, c = 5.168 Å
α = 90.00°, β = 90.00°, γ = 90.00°
Fractional coordinates of all 5 atoms:
Mn: 0.000 0.500 0.000
Mn: 0.500 0.000 0.000
Ru: 0.000 0.000 0.500
Se: 0.500 0.500 0.500
F: 0.500 0.500 0.000